Entry 1:
A plane-wave DFT calculation with GGA-PBE was carried out for crystalline PrGa3Cu3 at its relaxed geometry.

a b c (Å): 6.9732 6.9732 6.9658
angles (deg): 59.97 59.97 60.00
Closest atoms and distances in Å follow each position.
Positions (direct):
Ga1 0.0688 0.0687 0.1993  4 Cu 2.52-2.57, 2 Ga 2.79
Cu1 0.6889 0.0674 0.5548  4 Ga 2.52-2.57, 4 Cu 2.58-2.64
Cu2 0.3111 0.3111 0.4452  4 Ga 2.52-2.57, 4 Cu 2.58-2.64
Ga2 0.3369 0.9312 0.8007  4 Cu 2.52-2.57, 2 Ga 2.79
Cu3 0.3111 0.9326 0.4452  4 Ga 2.52-2.57, 4 Cu 2.58-2.64
Ga3 0.9312 0.9313 0.8007  4 Cu 2.52-2.57, 2 Ga 2.79
Ga4 0.0687 0.6631 0.1993  4 Cu 2.52-2.57, 2 Ga 2.79
Cu4 0.0674 0.6889 0.5548  4 Ga 2.52-2.57, 4 Cu 2.58-2.64
Ga5 0.9313 0.3369 0.8007  4 Cu 2.52-2.57, 2 Ga 2.79
Pr1 0.6196 0.6196 0.1413  3 Cu 3.04, 3 Ga 3.08
Cu5 0.6889 0.6889 0.5548  4 Ga 2.52-2.57, 4 Cu 2.58-2.64
Cu6 0.9326 0.3111 0.4452  4 Ga 2.52-2.57, 4 Cu 2.58-2.64
Pr2 0.3804 0.3804 0.8587  3 Cu 3.04, 3 Ga 3.08
Ga6 0.6631 0.0688 0.1993  4 Cu 2.52-2.57, 2 Ga 2.79

## Properties
Energy relative to the elements   -312 meV/atom
Electronic total energy   -4.048 eV/atom
Space-group type   R-3m

=====

Entry 2:
A plane-wave DFT calculation with GGA-PBE was carried out for crystalline Hf2TlTe at its relaxed geometry.

a b c (Å): 6.2182 6.2182 8.2131
angles (deg): 67.76 67.76 90.00
Closest atoms and distances in Å follow each position.
Positions (direct):
Hf1 0.1096 0.6250 0.2500  2 Tl 2.75, 2 Te 2.85
Hf2 0.6404 0.1250 0.2500  2 Tl 2.75, 2 Te 2.85
Te1 0.5000 0.5000 0.0000  4 Hf 2.85
Hf3 0.3750 0.3596 0.7500  2 Tl 2.75, 2 Te 2.85
Tl1 0.7500 0.2500 0.5000  4 Hf 2.75
Te2 0.2500 0.7500 0.5000  4 Hf 2.85
Tl2 0.0000 0.0000 0.0000  4 Hf 2.75
Hf4 0.8750 0.8904 0.7500  2 Tl 2.75, 2 Te 2.85

## Properties
Energy relative to the lowest polymorph listed for this composition   0.641 eV per atom
Electronic total energy   -5.697 eV/atom
Space-group type   I-42d
Formation energy (no corrections)   253 kJ/mol of formula units

=====

Entry 3:
A plane-wave DFT calculation with GGA-PBE was carried out for crystalline HoPa2P3 at its relaxed geometry.

a b c (Å): 5.6172 7.9412 11.8878
angles (deg): 90.00 90.00 90.00
Closest atoms and distances in Å follow each position.
Positions (direct):
Pa1 0.7502 0.1245 0.5833  6 P 2.80-2.81
Pa2 0.2498 0.3755 0.0833  6 P 2.80-2.81
Pa3 0.7496 0.1246 0.2496  6 P 2.79-2.81
P1 0.7504 0.3745 0.7496  4 Pa 2.80-2.81, 2 Ho 2.81-2.83
Ho1 0.7502 0.1236 0.9187  6 P 2.79-2.83
Pa4 0.2498 0.8755 0.4167  6 P 2.80-2.81
P2 0.7498 0.8742 0.4166  1 Ho 2.79, 5 Pa 2.80-2.81
P3 0.2496 0.1255 0.2496  4 Pa 2.80-2.81, 2 Ho 2.81-2.83
Pa5 0.7496 0.6246 0.2504  6 P 2.79-2.81
P4 0.2502 0.1267 0.9159  3 Pa 2.79-2.80, 3 Ho 2.80-2.81
P5 0.2502 0.6267 0.5841  3 Pa 2.79-2.80, 3 Ho 2.80-2.81
Ho2 0.2498 0.8764 0.0813  6 P 2.79-2.83
P6 0.2496 0.6255 0.2504  4 Pa 2.80-2.81, 2 Ho 2.81-2.83
Pa6 0.2504 0.3754 0.7496  6 P 2.79-2.81
P7 0.2502 0.1258 0.5834  1 Ho 2.79, 5 Pa 2.80-2.81
P8 0.7504 0.8745 0.7504  4 Pa 2.80-2.81, 2 Ho 2.81-2.83
Ho3 0.2498 0.3764 0.4187  6 P 2.79-2.83
Pa7 0.2504 0.8754 0.7504  6 P 2.79-2.81
P9 0.7498 0.3733 0.4159  3 Pa 2.79-2.80, 3 Ho 2.80-2.81
Ho4 0.7502 0.6236 0.5813  6 P 2.79-2.83
P10 0.7498 0.8733 0.0841  3 Pa 2.79-2.80, 3 Ho 2.80-2.81
P11 0.2502 0.6258 0.9166  1 Ho 2.79, 5 Pa 2.80-2.81
Pa8 0.7502 0.6245 0.9167  6 P 2.80-2.81
P12 0.7498 0.3742 0.0834  1 Ho 2.79, 5 Pa 2.80-2.81

## Properties
Energy relative to the elements   -1415 meV/atom
Electronic total energy   -8.049 eV/atom
Space-group type   Pnma

=====

Entry 4:
A plane-wave DFT calculation with GGA-PBE was carried out for crystalline BaCeTe2F at its relaxed geometry.

a b c (Å): 4.5446 4.5446 15.7925
angles (deg): 90.00 90.00 90.00
Closest atoms and distances in Å follow each position.
Positions (direct):
Ba1 0.5000 0.0000 0.5933  4 F 2.71
Ce1 0.0000 0.5000 0.8862  5 Te 2.94-3.23
Ce2 0.5000 0.0000 0.1138  5 Te 2.94-3.23
Ba2 0.0000 0.5000 0.4067  4 F 2.71
Te1 0.0000 0.5000 0.0954  5 Ce 3.23-3.30
F1 0.5000 0.5000 0.5000  4 Ba 2.71
Te2 0.5000 0.0000 0.3000  1 Ce 2.94
Te3 0.5000 0.0000 0.9046  5 Ce 3.23-3.30
F2 0.0000 0.0000 0.5000  4 Ba 2.71
Te4 0.0000 0.5000 0.7000  1 Ce 2.94

## Properties
Electronic total energy   -5.357 eV/atom
Space-group type   P4/nmm
Formation energy (no corrections)   -1040 kJ/mol of formula units

=====

Entry 5:
A plane-wave DFT calculation with GGA-PBE was carried out for crystalline Y2TcSbOs at its relaxed geometry.

a b c (Å): 5.1635 4.9216 5.1635
angles (deg): 90.00 90.00 90.00
Closest atoms and distances in Å follow each position.
Positions (direct):
Sb1 0.0000 0.5000 0.0000  2 Tc 2.46
Y1 0.5000 0.0000 0.0000  2 Tc 2.58
Os1 0.5000 0.5000 0.5000  8 Y 3.57, 4 Sb 3.65
Tc1 0.0000 0.0000 0.0000  2 Sb 2.46, 4 Y 2.58
Y2 0.0000 0.0000 0.5000  2 Tc 2.58

## Properties
Electronic total energy   -6.942 eV/atom
Space-group type   P4/mmm
Formation energy (no corrections)   380 kJ/mol of formula units

=====

Entry 6:
A plane-wave DFT calculation with GGA-PBE was carried out for crystalline SmAlBi at its relaxed geometry.

a b c (Å): 4.4828 4.4828 10.1495
angles (deg): 77.24 77.24 60.00
Closest atoms and distances in Å follow each position.
Positions (direct):
Sm1 0.4330 0.4330 0.7011  6 Al 3.22-3.29, 3 Bi 3.26
Bi1 0.6992 0.6992 0.9023  3 Bi 3.22, 3 Sm 3.26
Al1 0.1646 0.1646 0.5063  3 Al 2.59
Bi2 0.3008 0.3008 0.0977  3 Bi 3.22, 3 Sm 3.26
Sm2 0.5670 0.5670 0.2989  6 Al 3.22-3.29, 3 Bi 3.26
Al2 0.8354 0.8354 0.4937  3 Al 2.59

## Properties
Energy relative to the elements   -333 meV/atom
Electronic total energy   -4.447 eV/atom
Space-group type   R-3m

=====

Which of these has the highest electronic total energy?
PrGa3Cu3

=====

Among the records above, which one has the highest electronic total energy?
PrGa3Cu3